# 1
! Ac6P3Se2Cl, relaxed, DFT PBE-GGA; values from VASP
&SYSTEM
  ibrav = 0, nat = 12, ntyp = 4
/
ATOMIC_SPECIES
Ac 227.00 Ac.upf
P 30.97 P.upf
Se 78.96 Se.upf
Cl 35.45 Cl.upf
CELL_PARAMETERS angstrom
9.7302 -2.2066 0.0000
9.7302 2.2066 0.0000
-2.2313 0.0000 8.6757
ATOMIC_POSITIONS angstrom
Ac -0.4240 0.0000 2.0105
Ac 5.4005 0.0000 3.6911
Ac 4.5193 0.0000 7.8676
Ac 12.7098 0.0000 0.8082
Ac 11.8285 0.0000 4.9846
Ac 17.6530 0.0000 6.6653
P 2.4855 0.0000 2.8987
P 9.7302 0.0000 0.0000
P 14.7436 0.0000 5.7771
Se 1.3511 0.0000 7.1979
Se 15.8780 0.0000 1.4778
Cl 8.6145 0.0000 4.3379
! - space-group type = C2/m (12)
! - theoretical density (kg/m³) = 7347
! - E_form (uncorrected) (eV/atom) = -1.6963
! - volume (Å³ per atom) = 31.046

***

# 2
! Ac6P2Se3Cl, relaxed, DFT PBE-GGA; values from VASP
&SYSTEM
  ibrav = 0, nat = 12, ntyp = 4
/
ATOMIC_SPECIES
Ac 227.00 Ac.upf
P 30.97 P.upf
Se 78.96 Se.upf
Cl 35.45 Cl.upf
CELL_PARAMETERS angstrom
9.6740 -2.2103 0.0000
9.6740 2.2103 0.0000
-2.1122 0.0000 8.6667
ATOMIC_POSITIONS angstrom
Ac -0.4484 0.0000 2.2169
Ac 5.4561 0.0000 3.6965
Ac 4.5000 0.0000 7.8242
Ac 12.7358 0.0000 0.8425
Ac 11.7797 0.0000 4.9702
Ac 17.6841 0.0000 6.4497
P 2.4995 0.0000 2.8650
P 14.7363 0.0000 5.8017
Se 1.4371 0.0000 7.2246
Se 8.6179 0.0000 4.3333
Se 15.7987 0.0000 1.4421
Cl 9.6740 0.0000 0.0000
! - space-group type = C2/m (12)
! - theoretical density (kg/m³) = 7600
! - E_form (uncorrected) (eV/atom) = -1.7133
! - volume (Å³ per atom) = 30.886

***

# 3
! Ac6Si2PCl3, relaxed, DFT PBE-GGA; values from VASP
&SYSTEM
  ibrav = 0, nat = 12, ntyp = 4
/
ATOMIC_SPECIES
Ac 227.00 Ac.upf
Si 28.09 Si.upf
P 30.97 P.upf
Cl 35.45 Cl.upf
CELL_PARAMETERS angstrom
9.7149 -2.2528 0.0000
9.7149 2.2528 0.0000
-1.8769 0.0000 8.6785
ATOMIC_POSITIONS angstrom
Ac -0.3598 0.0000 2.0294
Ac 5.5784 0.0000 3.7178
Ac 4.9112 0.0000 7.8744
Ac 12.6418 0.0000 0.8041
Ac 11.9746 0.0000 4.9607
Ac 17.9128 0.0000 6.6491
Si 2.5879 0.0000 2.8722
Si 14.9651 0.0000 5.8063
P 9.7149 0.0000 0.0000
Cl 1.7331 0.0000 7.2577
Cl 8.7765 0.0000 4.3393
Cl 15.8200 0.0000 1.4208
! - space-group type = C2/m (12)
! - theoretical density (kg/m³) = 6800
! - E_form (uncorrected) (eV/atom) = -1.2973
! - volume (Å³ per atom) = 31.656

***

# 4
! Ac4SiPCl2, relaxed, DFT PBE-GGA; values from VASP
&SYSTEM
  ibrav = 0, nat = 8, ntyp = 4
/
ATOMIC_SPECIES
Ac 227.00 Ac.upf
Si 28.09 Si.upf
P 30.97 P.upf
Cl 35.45 Cl.upf
CELL_PARAMETERS angstrom
7.6904 0.0000 0.0000
0.0000 4.4759 0.0000
-2.6085 0.0000 7.2850
ATOMIC_POSITIONS angstrom
Ac 1.0961 0.0000 1.7420
Ac -0.2016 2.2380 5.4280
Ac 5.2835 2.2380 1.8570
Ac 3.9858 0.0000 5.5430
Si -1.3042 0.0000 3.6425
P 0.0000 2.2380 0.0000
Cl 3.8452 0.0000 0.0000
Cl 2.5409 2.2380 3.6425
! - space-group type = P2/m (10)
! - theoretical density (kg/m³) = 6873
! - E_form (uncorrected) (eV/atom) = -1.3667
! - volume (Å³ per atom) = 31.345

***

# 5
! Ac6SiP2Cl3, relaxed, DFT PBE-GGA; values from VASP
&SYSTEM
  ibrav = 0, nat = 12, ntyp = 4
/
ATOMIC_SPECIES
Ac 227.00 Ac.upf
Si 28.09 Si.upf
P 30.97 P.upf
Cl 35.45 Cl.upf
CELL_PARAMETERS angstrom
9.6513 -2.2249 0.0000
9.6513 2.2249 0.0000
-1.9522 0.0000 8.6415
ATOMIC_POSITIONS angstrom
Ac -0.3328 0.0000 2.0723
Ac 5.4823 0.0000 3.7319
Ac 4.7589 0.0000 7.7842
Ac 12.5916 0.0000 0.8574
Ac 11.8683 0.0000 4.9097
Ac 17.6834 0.0000 6.5693
Si 9.6513 0.0000 0.0000
P 2.5945 0.0000 2.8965
P 14.7560 0.0000 5.7451
Cl 1.5474 0.0000 7.1713
Cl 8.6753 0.0000 4.3208
Cl 15.8031 0.0000 1.4703
! - space-group type = C2/m (12)
! - theoretical density (kg/m³) = 6973
! - E_form (uncorrected) (eV/atom) = -1.4356
! - volume (Å³ per atom) = 30.927

***

# 6
! AcSmPCl, relaxed, DFT PBE-GGA; values from VASP
&SYSTEM
  ibrav = 0, nat = 4, ntyp = 4
/
ATOMIC_SPECIES
Ac 227.00 Ac.upf
Sm 150.36 Sm.upf
P 30.97 P.upf
Cl 35.45 Cl.upf
CELL_PARAMETERS angstrom
2.0592 1.1889 7.5946
-2.0592 1.1889 7.5946
0.0000 -2.3778 7.5946
ATOMIC_POSITIONS angstrom
Ac 0.0000 0.0000 0.0000
Sm 0.0000 0.0000 18.4352
P 0.0000 0.0000 9.4142
Cl 0.0000 0.0000 5.2403
! - space-group type = R3m (160)
! - theoretical density (kg/m³) = 6606
! - E_form (uncorrected) (eV/atom) = -1.5423
! - volume (Å³ per atom) = 27.889

***

# 7
! AcPaCl6, relaxed, DFT PBE-GGA; values from VASP
&SYSTEM
  ibrav = 0, nat = 8, ntyp = 3
/
ATOMIC_SPECIES
Ac 227.00 Ac.upf
Pa 231.04 Pa.upf
Cl 35.45 Cl.upf
CELL_PARAMETERS angstrom
3.5725 -6.0423 0.0000
3.5725 6.0423 0.0000
-1.8230 0.0000 6.8826
ATOMIC_POSITIONS angstrom
Ac 0.0000 0.0000 0.0000
Pa 2.6610 0.0000 3.4413
Cl 1.4755 1.8359 1.7271
Cl 0.4025 0.0000 5.0408
Cl 1.4755 -1.8359 1.7271
Cl 3.8465 1.8359 5.1555
Cl 4.9195 0.0000 1.8418
Cl 3.8465 -1.8359 5.1555
! - space-group type = C2/m (12)
! - theoretical density (kg/m³) = 3748
! - E_form (uncorrected) (eV/atom) = -1.9855
! - volume (Å³ per atom) = 37.142

***

# 8
! AcPaCl2, relaxed, DFT PBE-GGA; values from VASP
&SYSTEM
  ibrav = 0, nat = 4, ntyp = 3
/
ATOMIC_SPECIES
Ac 227.00 Ac.upf
Pa 231.04 Pa.upf
Cl 35.45 Cl.upf
CELL_PARAMETERS angstrom
1.8159 1.0484 10.1853
-1.8159 1.0484 10.1853
0.0000 -2.0968 10.1853
ATOMIC_POSITIONS angstrom
Ac 0.0000 0.0000 0.0000
Pa 0.0000 0.0000 15.2779
Cl 0.0000 0.0000 12.4401
Cl 0.0000 0.0000 18.1157
! - space-group type = R-3m (166)
! - theoretical density (kg/m³) = 7550
! - E_form (uncorrected) (eV/atom) = -0.9594
! - volume (Å³ per atom) = 29.085

***

# 9
! AcPaSbCl, relaxed, DFT PBE-GGA; values from VASP
&SYSTEM
  ibrav = 0, nat = 4, ntyp = 4
/
ATOMIC_SPECIES
Ac 227.00 Ac.upf
Pa 231.04 Pa.upf
Sb 121.76 Sb.upf
Cl 35.45 Cl.upf
CELL_PARAMETERS angstrom
0.0000 3.8292 3.8292
3.8292 0.0000 3.8292
3.8292 3.8292 0.0000
ATOMIC_POSITIONS angstrom
Ac 0.0000 0.0000 0.0000
Pa 3.8292 3.8292 3.8292
Sb 1.9146 1.9146 1.9146
Cl 5.7438 5.7438 5.7438
! - space-group type = F-43m (216)
! - theoretical density (kg/m³) = 9098
! - E_form (uncorrected) (eV/atom) = -0.6885
! - volume (Å³ per atom) = 28.074

***

# 10
! Ac2PbCl2, relaxed, DFT PBE-GGA; values from VASP
&SYSTEM
  ibrav = 0, nat = 5, ntyp = 3
/
ATOMIC_SPECIES
Ac 227.00 Ac.upf
Pb 207.20 Pb.upf
Cl 35.45 Cl.upf
CELL_PARAMETERS angstrom
2.3682 1.3673 10.2008
-2.3682 1.3673 10.2008
0.0000 -2.7346 10.2008
ATOMIC_POSITIONS angstrom
Ac 0.0000 0.0000 3.1902
Ac 0.0000 0.0000 27.4122
Pb 0.0000 0.0000 15.3012
Cl 0.0000 0.0000 8.4885
Cl 0.0000 0.0000 22.1140
! - space-group type = R-3m (166)
! - theoretical density (kg/m³) = 6134
! - E_form (uncorrected) (eV/atom) = -1.5065
! - volume (Å³ per atom) = 39.637

***

# 11
! Ac4Pb3Cl, relaxed, DFT PBE-GGA; values from VASP
&SYSTEM
  ibrav = 0, nat = 8, ntyp = 3
/
ATOMIC_SPECIES
Ac 227.00 Ac.upf
Pb 207.20 Pb.upf
Cl 35.45 Cl.upf
CELL_PARAMETERS angstrom
0.0000 4.7887 6.7576
4.7825 0.0000 6.7576
4.7825 4.7887 0.0000
ATOMIC_POSITIONS angstrom
Ac 2.3912 2.3943 0.0000
Ac 4.7825 4.7887 3.3564
Ac 2.3912 2.3943 6.7576
Ac 4.7825 4.7887 10.1588
Pb 2.3912 2.3943 3.3788
Pb 4.7825 4.7887 6.7576
Pb 7.1737 7.1830 10.1364
Cl 0.0000 0.0000 0.0000
! - space-group type = Fmmm (69)
! - theoretical density (kg/m³) = 8396
! - E_form (uncorrected) (eV/atom) = -0.7750
! - volume (Å³ per atom) = 38.690

***

# 12
! Ac3PdPbCl, relaxed, DFT PBE-GGA; values from VASP
&SYSTEM
  ibrav = 0, nat = 12, ntyp = 4
/
ATOMIC_SPECIES
Ac 227.00 Ac.upf
Pd 106.42 Pd.upf
Pb 207.20 Pb.upf
Cl 35.45 Cl.upf
CELL_PARAMETERS angstrom
8.4280 0.0000 0.0000
0.0000 4.6858 0.0000
-3.5517 0.0000 10.4193
ATOMIC_POSITIONS angstrom
Ac -0.8154 1.1715 3.7257
Ac -1.6539 1.1715 10.0975
Ac 1.4175 3.5144 6.6301
Ac 3.4589 1.1715 3.7892
Ac 6.5302 3.5144 0.3217
Ac 5.6918 3.5144 6.6936
Pd -0.6342 1.1715 6.6988
Pd 5.5106 3.5144 3.7205
Pb 1.2280 3.5144 2.1527
Pb 3.6484 1.1715 8.2666
Cl 0.1305 3.5144 9.3521
Cl 4.7459 1.1715 1.0672
! - space-group type = P2_1/m (11)
! - theoretical density (kg/m³) = 8314
! - E_form (uncorrected) (eV/atom) = -0.9014
! - volume (Å³ per atom) = 34.290